VASP calculation (PBE with a Hubbard U) on SmCoP2O8 after structural relaxation.

The structure in POSCAR format:
```
SmCoP2O8
1.0
5.1358 0.0000 0.0000
-2.5679 4.4478 0.0000
0.0000 0.0000 6.5850
Sm Co P O
1 1 2 8
Direct
0.0000 0.0000 0.0000 Sm
0.0000 0.0000 0.5000 Co
0.3333 0.6667 0.2301 P
0.6667 0.3333 0.7699 P
0.1678 0.3355 0.3024 O
0.1678 0.8322 0.3024 O
0.3333 0.6667 0.9968 O
0.3355 0.1678 0.6976 O
0.6645 0.8322 0.3024 O
0.6667 0.3333 0.0032 O
0.8322 0.1678 0.6976 O
0.8322 0.6645 0.6976 O
```

Results
Its total energy is -87.3 eV for the cell shown.